The following is a DFT calculation (PBEsol) of a relaxed structure of Pd3SeBr.

Summary:
E	-4.047	eV per atom
formation energy from raw total energies	0.67	eV per atom

a b c (Å): 4.680 4.680 4.680
angles (deg): 90.00 90.00 90.00
Positions (direct):
Pd (0.000, 0.000, 0.500)
Pd (0.000, 0.500, 0.000)
Pd (0.500, 0.000, 0.000)
Se (0.500, 0.500, 0.500)
Br (0.000, 0.000, 0.000)